A geometry-optimized BaZr3C structure. Source: Alexandria via LeMat-Bulk, functional GGA-PBE.

Properties
Formation enthalpy at 0 K   0.30 eV/atom
Polymorph energy (0 for the lowest one)   0 meV per atom
Raw total energy   -7.057 eV/atom

a b c (Å): 4.8027 4.8027 4.8027
angles (deg): 90.00 90.00 90.00
Space group Pm-3m (No. 221)
Asymmetric unit:
Ba  0.0000  0.0000  0.0000 (multiplicity 1)
Zr  0.0000  0.5000  0.5000 (multiplicity 3)
C  0.5000  0.5000  0.5000 (multiplicity 1)